# 1
LiCaErSn | PBE | optimized geometry

The structure in CIF format:
```
data_LiCaErSn
_cell_length_a 7.454
_cell_length_b 7.454
_cell_length_c 7.454
_cell_angle_alpha 90.00
_cell_angle_beta 90.00
_cell_angle_gamma 90.00
_symmetry_space_group_name_H-M 'F -4 3 m'
_symmetry_Int_Tables_number 216
_symmetry_space_group_name_Hall 'F -4 2 3'
loop_
_atom_site_label
_atom_site_type_symbol
_atom_site_fract_x
_atom_site_fract_y
_atom_site_fract_z
Li1 Li 0.000 0.000 0.000
Ca1 Ca 0.250 0.250 0.750
Er1 Er 0.250 0.250 0.250
Sn1 Sn 0.000 0.000 0.500
```

## Properties
The energy of formation from the pure elements is -1.574 eV per formula unit.

# 2
Li2CaEr2Sn2 | PBE | optimized geometry

The structure in CIF format:
```
data_Li2CaEr2Sn2
_cell_length_a 4.8122
_cell_length_b 4.8122
_cell_length_c 27.0572
_cell_angle_alpha 90.00
_cell_angle_beta 90.00
_cell_angle_gamma 120.00
_symmetry_space_group_name_H-M 'R -3 m'
_symmetry_Int_Tables_number 166
_symmetry_space_group_name_Hall '-R 3 2"'
loop_
_atom_site_label
_atom_site_type_symbol
_atom_site_fract_x
_atom_site_fract_y
_atom_site_fract_z
Li1 Li 0.0000 0.0000 0.0902
Ca1 Ca 0.0000 0.0000 0.5000
Er1 Er 0.0000 0.0000 0.3697
Sn1 Sn 0.0000 0.0000 0.2441
```

## Properties
The energy of formation from the pure elements is -3.161 eV per formula unit.

# 3
LiCaErTe3 | PBE | optimized geometry

The structure in CIF format:
```
data_LiCaErTe3
_cell_length_a 8.917
_cell_length_b 4.338
_cell_length_c 9.608
_cell_angle_alpha 90.00
_cell_angle_beta 103.14
_cell_angle_gamma 90.00
_symmetry_space_group_name_H-M 'P 1 21/m 1'
_symmetry_Int_Tables_number 11
loop_
_symmetry_equiv_pos_as_xyz
'x,y,z'
'-x,-y,-z'
'-x,y+1/2,-z'
'x,-y+1/2,z'
loop_
_atom_site_label
_atom_site_type_symbol
_atom_site_fract_x
_atom_site_fract_y
_atom_site_fract_z
Li1 Li 0.084 0.250 0.085
Ca1 Ca 0.185 0.250 0.740
Er1 Er 0.330 0.750 0.333
Te1 Te 0.099 0.250 0.372
Te2 Te 0.234 0.750 0.007
Te3 Te 0.428 0.750 0.664
```

## Properties
The uncorrected formation energy is -1.34 eV/atom.

# 4
LiCa3Er2Te6 | PBE | optimized geometry

The structure in CIF format:
```
data_LiCa3Er2Te6
_cell_length_a 7.631
_cell_length_b 13.206
_cell_length_c 7.658
_cell_angle_alpha 90.00
_cell_angle_beta 109.45
_cell_angle_gamma 90.00
_symmetry_space_group_name_H-M 'C 1 2/m 1'
_symmetry_Int_Tables_number 12
loop_
_symmetry_equiv_pos_as_xyz
'x,y,z'
'-x,-y,-z'
'-x,y,-z'
'x,-y,z'
'x+1/2,y+1/2,z'
'-x+1/2,-y+1/2,-z'
'-x+1/2,y+1/2,-z'
'x+1/2,-y+1/2,z'
loop_
_atom_site_label
_atom_site_type_symbol
_atom_site_fract_x
_atom_site_fract_y
_atom_site_fract_z
Li1 Li 0.000 0.000 0.000
Ca1 Ca 0.000 0.168 0.500
Ca2 Ca 0.000 0.500 0.500
Er1 Er 0.000 0.334 0.000
Te1 Te 0.245 0.166 0.238
Te2 Te 0.248 0.500 0.239
```

## Properties
The uncorrected formation energy is -1.45 eV/atom.

# 5
LiCaErTl | PBE | optimized geometry

The structure in CIF format:
```
data_LiCaErTl
_cell_length_a 7.535
_cell_length_b 7.535
_cell_length_c 7.535
_cell_angle_alpha 90.00
_cell_angle_beta 90.00
_cell_angle_gamma 90.00
_symmetry_space_group_name_H-M 'F -4 3 m'
_symmetry_Int_Tables_number 216
_symmetry_space_group_name_Hall 'F -4 2 3'
loop_
_atom_site_label
_atom_site_type_symbol
_atom_site_fract_x
_atom_site_fract_y
_atom_site_fract_z
Li1 Li 0.000 0.000 0.000
Ca1 Ca 0.250 0.250 0.250
Er1 Er 0.250 0.250 0.750
Tl1 Tl 0.000 0.000 0.500
```

## Properties
The energy of formation from the pure elements is -0.837 eV per formula unit.

# 6
LiCaEr2Tl4 | PBE | optimized geometry

The structure in CIF format:
```
data_LiCaEr2Tl4
_cell_length_a 5.2762
_cell_length_b 5.2762
_cell_length_c 26.2318
_cell_angle_alpha 90.00
_cell_angle_beta 90.00
_cell_angle_gamma 120.00
_symmetry_space_group_name_H-M 'R -3 m'
_symmetry_Int_Tables_number 166
_symmetry_space_group_name_Hall '-R 3 2"'
loop_
_atom_site_label
_atom_site_type_symbol
_atom_site_fract_x
_atom_site_fract_y
_atom_site_fract_z
Li1 Li 0.0000 0.0000 0.0000
Ca1 Ca 0.0000 0.0000 0.5000
Er1 Er 0.0000 0.0000 0.2528
Tl1 Tl 0.0000 0.0000 0.1209
Tl2 Tl 0.0000 0.0000 0.3725
```

## Properties
The energy of formation from the pure elements is -2.539 eV per formula unit.

# 7
Li2Ca2ErTl2 | PBE | optimized geometry

The structure in CIF format:
```
data_Li2Ca2ErTl2
_cell_length_a 4.9122
_cell_length_b 4.9122
_cell_length_c 27.9606
_cell_angle_alpha 90.00
_cell_angle_beta 90.00
_cell_angle_gamma 120.00
_symmetry_space_group_name_H-M 'R -3 m'
_symmetry_Int_Tables_number 166
_symmetry_space_group_name_Hall '-R 3 2"'
loop_
_atom_site_label
_atom_site_type_symbol
_atom_site_fract_x
_atom_site_fract_y
_atom_site_fract_z
Li1 Li 0.0000 0.0000 0.1128
Ca1 Ca 0.0000 0.0000 0.3778
Er1 Er 0.0000 0.0000 0.5000
Tl1 Tl 0.0000 0.0000 0.2283
```

## Properties
The energy of formation from the pure elements is -1.553 eV per formula unit.

# 8
Li2CaErTl4 | PBE | optimized geometry

The structure in CIF format:
```
data_Li2CaErTl4
_cell_length_a 5.2005
_cell_length_b 5.2005
_cell_length_c 25.4632
_cell_angle_alpha 90.00
_cell_angle_beta 90.00
_cell_angle_gamma 120.00
_symmetry_space_group_name_H-M 'R -3 m'
_symmetry_Int_Tables_number 166
_symmetry_space_group_name_Hall '-R 3 2"'
loop_
_atom_site_label
_atom_site_type_symbol
_atom_site_fract_x
_atom_site_fract_y
_atom_site_fract_z
Li1 Li 0.0000 0.0000 0.2500
Ca1 Ca 0.0000 0.0000 0.0000
Er1 Er 0.0000 0.0000 0.5000
Tl1 Tl 0.0000 0.0000 0.1266
Tl2 Tl 0.0000 0.0000 0.3758
```

## Properties
The energy of formation from the pure elements is -2.485 eV per formula unit.

# 9
CaErLu | PBE | optimized geometry

The structure in CIF format:
```
data_CaErLu
_cell_length_a 3.5619
_cell_length_b 3.5619
_cell_length_c 9.0391
_cell_angle_alpha 90.00
_cell_angle_beta 90.00
_cell_angle_gamma 120.00
_symmetry_space_group_name_H-M 'P 3 m 1'
_symmetry_Int_Tables_number 156
loop_
_symmetry_equiv_pos_as_xyz
'x,y,z'
'-y,x-y,z'
'-x+y,-x,z'
'-y,-x,z'
'-x+y,y,z'
'x,x-y,z'
loop_
_atom_site_label
_atom_site_type_symbol
_atom_site_fract_x
_atom_site_fract_y
_atom_site_fract_z
Ca1 Ca 0.0000 0.0000 0.0000
Er1 Er 0.3333 0.6667 0.6480
Lu1 Lu 0.6667 0.3333 0.3467
```

## Properties
The energy of formation from the pure elements is 0.311 eV per formula unit.

# 10
CaErLu2 | PBE | optimized geometry

The structure in CIF format:
```
data_CaErLu2
_cell_length_a 8.008
_cell_length_b 8.008
_cell_length_c 8.008
_cell_angle_alpha 90.00
_cell_angle_beta 90.00
_cell_angle_gamma 90.00
_symmetry_space_group_name_H-M 'F m -3 m'
_symmetry_Int_Tables_number 225
_symmetry_space_group_name_Hall '-F 4 2 3'
loop_
_atom_site_label
_atom_site_type_symbol
_atom_site_fract_x
_atom_site_fract_y
_atom_site_fract_z
Ca1 Ca 0.000 0.000 0.000
Er1 Er 0.000 0.000 0.500
Lu1 Lu 0.250 0.250 0.250
```

## Properties
The energy of formation from the pure elements is 0.807 eV per formula unit.

# 11
CaErLu2 | PBE | optimized geometry

The structure in CIF format:
```
data_CaErLu2
_cell_length_a 3.559
_cell_length_b 3.559
_cell_length_c 10.235
_cell_angle_alpha 90.00
_cell_angle_beta 90.00
_cell_angle_gamma 90.00
_symmetry_space_group_name_H-M 'P 4/m m m'
_symmetry_Int_Tables_number 123
_symmetry_space_group_name_Hall '-P 4 2'
loop_
_atom_site_label
_atom_site_type_symbol
_atom_site_fract_x
_atom_site_fract_y
_atom_site_fract_z
Ca1 Ca 0.000 0.000 0.000
Er1 Er 0.000 0.000 0.500
Lu1 Lu 0.500 0.500 0.272
```

## Properties
The energy of formation from the pure elements is 0.364 eV per formula unit.

# 12
CaErLu2 | PBE | optimized geometry

The structure in CIF format:
```
data_CaErLu2
_cell_length_a 5.027
_cell_length_b 5.027
_cell_length_c 5.044
_cell_angle_alpha 90.00
_cell_angle_beta 90.00
_cell_angle_gamma 90.00
_symmetry_space_group_name_H-M 'P 4/m m m'
_symmetry_Int_Tables_number 123
_symmetry_space_group_name_Hall '-P 4 2'
loop_
_atom_site_label
_atom_site_type_symbol
_atom_site_fract_x
_atom_site_fract_y
_atom_site_fract_z
Ca1 Ca 0.000 0.000 0.000
Er1 Er 0.500 0.500 0.000
Lu1 Lu 0.000 0.500 0.500
```

## Properties
The energy of formation from the pure elements is 0.677 eV per formula unit.

no.,theoretical density (Mg/m³),final energy (eV per cell)
1,5.340,-56.222
2,5.746,-78.366
3,5.478,-51.938
4,5.601,-106.476
5,6.501,-46.728
6,9.445,-75.137
7,5.713,-56.038
8,8.677,-67.026
9,6.392,-10.775
10,7.208,-59.197
11,7.139,-15.242
12,7.260,-14.930